Density functional theory data (PBE) for a relaxed structure of CdInHg6Pb2.

Unit cell a=8.0883 b=8.0353 c=9.9041 alpha=90.00 beta=116.82 gamma=90.00
With the nearest neighbours (Å) after each atom.
Sites, in units of the cell vectors:
Cd 0.0000 0.0000 0.0000  4 Hg 2.85-3.18
Cd 0.0000 0.5000 0.5000  4 Hg 2.85-3.18
In 0.5000 0.0000 0.5000  6 Hg 3.02-3.37
In 0.5000 0.5000 0.0000  6 Hg 3.02-3.37
Hg 0.0617 0.0958 0.3305  2 Pb 3.04-3.06, 1 Cd 3.18, 1 In 3.26, 1 Hg 3.32
Hg 0.0617 0.4042 0.8305  2 Pb 3.04-3.06, 1 Cd 3.18, 1 In 3.26, 1 Hg 3.32
Hg 0.2570 0.7322 0.0714  1 Cd 2.85, 1 In 3.02
Hg 0.2570 0.7678 0.5714  1 Cd 2.85, 1 In 3.02
Hg 0.4302 0.1119 0.0924  3 Pb 3.05-3.28, 3 Hg 3.12-3.32, 1 Cd 3.30, 1 In 3.37
Hg 0.4302 0.3881 0.5924  3 Pb 3.05-3.28, 3 Hg 3.12-3.32, 1 Cd 3.30, 1 In 3.37
Hg 0.5698 0.6119 0.4076  3 Pb 3.05-3.28, 3 Hg 3.12-3.32, 1 Cd 3.30, 1 In 3.37
Hg 0.5698 0.8881 0.9076  3 Pb 3.05-3.28, 3 Hg 3.12-3.32, 1 Cd 3.30, 1 In 3.37
Hg 0.7430 0.2322 0.4286  1 Cd 2.85, 1 In 3.02
Hg 0.7430 0.2678 0.9286  1 Cd 2.85, 1 In 3.02
Hg 0.9383 0.5958 0.1695  2 Pb 3.04-3.06, 1 Cd 3.18, 1 In 3.26, 1 Hg 3.32
Hg 0.9383 0.9042 0.6695  2 Pb 3.04-3.06, 1 Cd 3.18, 1 In 3.26, 1 Hg 3.32
Pb 0.2524 0.1438 0.7233  6 Hg 3.04-3.38
Pb 0.2524 0.3562 0.2233  6 Hg 3.04-3.38
Pb 0.7476 0.6438 0.7767  6 Hg 3.04-3.38
Pb 0.7476 0.8562 0.2767  6 Hg 3.04-3.38

## Properties
E = -1.2308 eV per atom
Symmetry = P2_1/c
Theoretical density = 10668 kg/m³
Calculated formation energy = 0.057 eV/atom

=====

Density functional theory data (PBE) for a relaxed structure of Cr2HgRu.

Unit cell a=2.9826 b=4.5645 c=8.7324 alpha=90.00 beta=90.00 gamma=90.00
With the nearest neighbours (Å) after each atom.
Sites, in units of the cell vectors:
Cr 0.0000 0.0000 0.0000  2 Cr 2.27
Cr 0.0000 0.5000 0.1960  2 Cr 2.27, 2 Ru 2.50
Cr 0.5000 0.0000 0.1960  2 Cr 2.27, 2 Ru 2.50
Cr 0.5000 0.5000 0.0000  2 Cr 2.27
Hg 0.0000 0.5000 0.7170  6 Hg 2.73-2.98, 2 Cr 2.89, 2 Ru 2.95
Hg 0.5000 0.0000 0.7170  6 Hg 2.73-2.98, 2 Cr 2.89, 2 Ru 2.95
Ru 0.0000 0.0000 0.4258  2 Cr 2.50, 4 Ru 2.73
Ru 0.5000 0.5000 0.4258  2 Cr 2.50, 4 Ru 2.73

## Properties
E = -6.7134 eV per atom
Symmetry = Cmm2
Theoretical density = 11332 kg/m³
Calculated formation energy = 0.493 eV/atom

=====

Density functional theory data (PBE) for a relaxed structure of Zr2AlP.

Unit cell a=4.3256 b=4.3256 c=3.8796 alpha=90.00 beta=90.00 gamma=90.00
With the nearest neighbours (Å) after each atom.
Sites, in units of the cell vectors:
Zr 0.0000 0.5000 0.0000  4 Al 2.91, 4 P 2.91, 4 Zr 3.06
Zr 0.5000 0.0000 0.0000  4 Al 2.91, 4 P 2.91, 4 Zr 3.06
Al 0.0000 0.0000 0.5000  8 Zr 2.91, 4 P 3.06
P 0.5000 0.5000 0.5000  8 Zr 2.91, 4 Al 3.06

## Properties
ΔE to the lowest computed polymorph = 0.336 eV per atom
E = -7.0672 eV per atom
Symmetry = P4/mmm
Theoretical density = 5500 kg/m³
Calculated formation energy = -0.505 eV/atom

=====

Density functional theory data (PBE) for a relaxed structure of Re2SbTe.

Unit cell a=3.0637 b=3.0637 c=9.0242 alpha=90.00 beta=90.00 gamma=90.00
With the nearest neighbours (Å) after each atom.
Sites, in units of the cell vectors:
Re 0.0000 0.0000 0.0000  4 Re 2.73, 4 Te 2.83
Re 0.5000 0.5000 0.1848  4 Re 2.73, 4 Sb 2.89
Sb 0.0000 0.0000 0.3974  4 Re 2.89, 4 Sb 3.06
Te 0.5000 0.5000 0.7982  4 Re 2.83, 4 Te 3.06

## Properties
ΔE to the lowest computed polymorph = 0.000 eV per atom
E = -7.7315 eV per atom
Symmetry = P4mm
Theoretical density = 12189 kg/m³

=====

Density functional theory data (PBE) for a relaxed structure of Pr2InS.

Unit cell a=4.1294 b=24.2092 c=4.4707 alpha=90.00 beta=90.00 gamma=90.00
With the nearest neighbours (Å) after each atom.
Sites, in units of the cell vectors:
Pr 0.0000 0.0778 0.2500  1 S 2.80
Pr 0.0000 0.3101 0.2500  5 S 2.82-3.04
Pr 0.0000 0.6899 0.7500  5 S 2.82-3.04
Pr 0.0000 0.9222 0.7500  1 S 2.80
Pr 0.5000 0.1899 0.7500  5 S 2.82-3.04
Pr 0.5000 0.4222 0.7500  1 S 2.80
Pr 0.5000 0.5778 0.2500  1 S 2.80
Pr 0.5000 0.8101 0.2500  5 S 2.82-3.04
In 0.0000 0.4605 0.2500  2 In 2.94, 4 Pr 3.18
In 0.0000 0.5395 0.7500  2 In 2.94, 4 Pr 3.18
In 0.5000 0.0395 0.7500  2 In 2.94, 4 Pr 3.18
In 0.5000 0.9605 0.2500  2 In 2.94, 4 Pr 3.18
S 0.0000 0.1936 0.2500  6 Pr 2.80-3.04
S 0.0000 0.8064 0.7500  6 Pr 2.80-3.04
S 0.5000 0.3064 0.7500  6 Pr 2.80-3.04
S 0.5000 0.6936 0.2500  6 Pr 2.80-3.04

## Properties
ΔE to the lowest computed polymorph = 0.000 eV per atom
E = -5.3137 eV per atom
Symmetry = Cmcm
Theoretical density = 6371 kg/m³

=====

Density functional theory data (PBE) for a relaxed structure of Sr2SiSnAs.

Unit cell a=6.0528 b=6.0528 c=4.6427 alpha=90.00 beta=90.00 gamma=90.00
With the nearest neighbours (Å) after each atom.
Sites, in units of the cell vectors:
Sr 0.0000 0.5000 0.0000  2 Si 3.03
Sr 0.5000 0.0000 0.0000  2 Si 3.03
Si 0.0000 0.0000 0.0000  2 As 2.32
Sn 0.5000 0.5000 0.5000  8 Sr 3.81
As 0.0000 0.0000 0.5000  2 Si 2.32

## Properties
E = -3.5971 eV per atom
Symmetry = P4/mmm
Theoretical density = 3875 kg/m³

=====

Density functional theory data (PBE) for a relaxed structure of KCd2Ag.

Unit cell a=6.3476 b=10.8616 c=3.0817 alpha=90.00 beta=90.00 gamma=90.00
With the nearest neighbours (Å) after each atom.
Sites, in units of the cell vectors:
K 0.0000 0.0000 0.0000  2 K 3.08, 2 Ag 3.17
K 0.5000 0.5000 0.0000  2 K 3.08, 2 Ag 3.17
Cd 0.2500 0.2500 0.5000  4 Cd 3.08-3.17
Cd 0.2500 0.7500 0.5000  4 Cd 3.08-3.17
Cd 0.7500 0.2500 0.5000  4 Cd 3.08-3.17
Cd 0.7500 0.7500 0.5000  4 Cd 3.08-3.17
Ag 0.0000 0.5000 0.0000  2 Ag 3.08, 2 K 3.17
Ag 0.5000 0.0000 0.0000  2 Ag 3.08, 2 K 3.17

## Properties
ΔE to the lowest computed polymorph = 0.234 eV per atom
E = -1.2808 eV per atom
Symmetry = Cmmm
Theoretical density = 5811 kg/m³
Calculated formation energy = 0.164 eV/atom

=====

Density functional theory data (PBE) for a relaxed structure of LiLa6Ga.

Unit cell a=7.5310 b=7.5299 c=9.7692 alpha=90.00 beta=112.59 gamma=90.00
With the nearest neighbours (Å) after each atom.
Sites, in units of the cell vectors:
Li 0.0000 0.0000 0.0000  8 La 3.28
Li 0.5000 0.5000 0.0000  8 La 3.28
La 0.1436 0.2499 0.7870  2 Li 3.28, 2 Ga 3.28
La 0.1436 0.7501 0.7870  2 Li 3.28, 2 Ga 3.28
La 0.2485 0.5000 0.4984  12 La 3.70-3.78
La 0.2515 0.0000 0.5016  12 La 3.70-3.78
La 0.3564 0.2501 0.2130  2 Li 3.28, 2 Ga 3.28
La 0.3564 0.7499 0.2130  2 Li 3.28, 2 Ga 3.28
La 0.6436 0.2501 0.7870  2 Li 3.28, 2 Ga 3.28
La 0.6436 0.7499 0.7870  2 Li 3.28, 2 Ga 3.28
La 0.7485 0.0000 0.4984  12 La 3.70-3.78
La 0.7515 0.5000 0.5016  12 La 3.70-3.78
La 0.8564 0.2499 0.2130  2 Li 3.28, 2 Ga 3.28
La 0.8564 0.7501 0.2130  2 Li 3.28, 2 Ga 3.28
Ga 0.0000 0.5000 0.0000  8 La 3.28
Ga 0.5000 0.0000 0.0000  8 La 3.28

## Properties
E = -4.4444 eV per atom
Symmetry = C2/m
Theoretical density = 5909 kg/m³
Calculated formation energy = -0.131 eV/atom

=====

Density functional theory data (PBE) for a relaxed structure of AcMgSc.

Unit cell a=4.6526 b=4.6526 c=8.9255 alpha=90.00 beta=90.00 gamma=90.00
With the nearest neighbours (Å) after each atom.
Sites, in units of the cell vectors:
Ac 0.2500 0.2500 0.1469  5 Sc 3.48-3.75
Ac 0.7500 0.7500 0.8531  5 Sc 3.48-3.75
Mg 0.2500 0.7500 0.5000  4 Sc 3.08, 4 Mg 3.29
Mg 0.7500 0.2500 0.5000  4 Sc 3.08, 4 Mg 3.29
Sc 0.2500 0.2500 0.7268  4 Mg 3.08
Sc 0.7500 0.7500 0.2732  4 Mg 3.08

## Properties
ΔE to the lowest computed polymorph = 0.149 eV per atom
E = -3.8233 eV per atom
Symmetry = P4/nmm
Theoretical density = 5092 kg/m³
Calculated formation energy = 0.188 eV/atom

=====

Density functional theory data (PBE) for a relaxed structure of Ba2SiBr.

Unit cell a=4.6872 b=4.6872 c=13.3668 alpha=90.00 beta=90.00 gamma=90.00
With the nearest neighbours (Å) after each atom.
Sites, in units of the cell vectors:
Ba 0.0000 0.0000 0.0000  4 Si 3.31
Ba 0.0000 0.5000 0.2500  4 Br 3.31
Ba 0.5000 0.0000 0.7500  4 Br 3.31
Ba 0.5000 0.5000 0.5000  4 Si 3.31
Si 0.0000 0.0000 0.5000  4 Ba 3.31
Si 0.5000 0.5000 0.0000  4 Ba 3.31
Br 0.0000 0.5000 0.7500  4 Ba 3.31
Br 0.5000 0.0000 0.2500  4 Ba 3.31

## Properties
ΔE to the lowest computed polymorph = 0.302 eV per atom
E = -3.3716 eV per atom
Symmetry = I-4m2
Theoretical density = 4327 kg/m³